K2LiYS PBE relaxed; energy = -14.98 eV for the cell shown; symmetry = P4/mmm; ΔE_f (raw) = -0.06 eV/atom
1.0
6.525 0.000 0.000
0.000 6.525 0.000
0.000 0.000 4.543
K Li Y S
2 1 1 1
direct
0.000 0.500 0.000
0.500 0.000 0.000
0.000 0.000 0.500
0.500 0.500 0.500
0.000 0.000 0.000